Cr2ReBr | PBE-GGA | relaxed Values from VASP.

Calculated values
* spin magnetization: 0.0 μB per formula unit
* crystal system: tetragonal
* SG: P4/mmm (123)
* energy relative to the lowest polymorph listed for this composition: 174 meV per atom
* uncorrected energy: -7.79 eV per atom

Geometry as Quantum ESPRESSO input:
```
&SYSTEM
  ibrav = 0, nat = 4, ntyp = 3
/
ATOMIC_SPECIES
Re 186.21 Re.upf
Cr 52.00 Cr.upf
Br 79.90 Br.upf
CELL_PARAMETERS angstrom
2.953 0.000 0.000
0.000 2.953 0.000
0.000 0.000 6.601
ATOMIC_POSITIONS crystal
Re 0.500 0.500 0.250
Cr 0.000 0.000 0.019
Br 0.500 0.500 0.750
Cr 0.000 0.000 0.481
```

=====

CrNi3Rh | PBE-GGA | relaxed Values from VASP.

Calculated values
* spin magnetization: 0.5 μB per formula unit
* crystal system: tetragonal
* E_form: 0.284 eV per atom
* SG: I4mm (107)
* energy relative to the lowest polymorph listed for this composition: 189 meV per atom
* uncorrected energy: -6.58 eV per atom

Geometry as Quantum ESPRESSO input:
```
&SYSTEM
  ibrav = 0, nat = 5, ntyp = 3
/
ATOMIC_SPECIES
Cr 52.00 Cr.upf
Ni 58.69 Ni.upf
Rh 102.91 Rh.upf
CELL_PARAMETERS angstrom
-0.799 -0.882 -3.187
2.997 -1.579 -0.314
-3.349 -3.407 3.598
ATOMIC_POSITIONS crystal
Cr 0.613 0.613 0.227
Ni 0.760 0.260 0.519
Ni 0.260 0.760 0.519
Rh 0.042 0.042 0.084
Ni 0.416 0.416 0.832
```

=====

Please write out number 2 again, unchanged.
CrNi3Rh | PBE-GGA | relaxed Values from VASP.

Calculated values
* spin magnetization: 0.5 μB per formula unit
* crystal system: tetragonal
* E_form: 0.284 eV per atom
* SG: I4mm (107)
* energy relative to the lowest polymorph listed for this composition: 189 meV per atom
* uncorrected energy: -6.58 eV per atom

Geometry as Quantum ESPRESSO input:
```
&SYSTEM
  ibrav = 0, nat = 5, ntyp = 3
/
ATOMIC_SPECIES
Cr 52.00 Cr.upf
Ni 58.69 Ni.upf
Rh 102.91 Rh.upf
CELL_PARAMETERS angstrom
-0.799 -0.882 -3.187
2.997 -1.579 -0.314
-3.349 -3.407 3.598
ATOMIC_POSITIONS crystal
Cr 0.613 0.613 0.227
Ni 0.760 0.260 0.519
Ni 0.260 0.760 0.519
Rh 0.042 0.042 0.084
Ni 0.416 0.416 0.832
```

=====

spin magnetization of number 2 (CrNi3Rh)? 0.5 μB per formula unit

=====

Which value of energy relative to the lowest polymorph listed for this composition does entry 2 give? 189 meV per atom